Density functional theory data (GGA-PBE) for a relaxed structure of CaTcRu.

Properties
- Energy of formation: 676.9 meV/atom
- VASP energy: -6.538 eV/atom
- DOS at the Fermi energy: 0.654 states/eV per atom
- Space group: F-43m, No. 216

abc: 4.392 4.392 4.392
angles: 60.00 60.00 60.00
Element x y z (fractional)
Ru  0.750  0.750  0.750
Ca  0.500  0.500  0.500
Tc  0.000  0.000  0.000



Density functional theory data (GGA-PBE) for a relaxed structure of Ca4TcRu.

Properties
- Energy of formation: 1287.7 meV/atom
- VASP energy: -3.320 eV/atom
- DOS at the Fermi energy: 1.036 states/eV per atom
- Space group: F-43m, No. 216

abc: 6.012 6.012 6.012
angles: 60.00 60.00 60.00
Element x y z (fractional)
Ca  0.875  0.375  0.375
Ca  0.375  0.375  0.875
Ca  0.375  0.875  0.375
Ca  0.375  0.375  0.375
Tc  0.000  0.000  0.000
Ru  0.750  0.750  0.750



Density functional theory data (GGA-PBE) for a relaxed structure of CaTc4Ru.

Properties
- Energy of formation: 399.2 meV/atom
- VASP energy: -8.391 eV/atom
- DOS at the Fermi energy: 1.202 states/eV per atom
- Space group: F-43m, No. 216

abc: 5.207 5.207 5.207
angles: 60.00 60.00 60.00
Element x y z (fractional)
Ca  0.750  0.750  0.750
Tc  0.874  0.375  0.375
Tc  0.375  0.375  0.874
Tc  0.375  0.874  0.375
Tc  0.375  0.375  0.375
Ru  0.000  0.000  0.000



Density functional theory data (GGA-PBE) for a relaxed structure of CaTcRu.

Properties
- Energy of formation: 1826.8 meV/atom
- VASP energy: -5.388 eV/atom
- DOS at the Fermi energy: 1.520 states/eV per atom
- Space group: F-43m, No. 216

abc: 4.471 4.471 4.471
angles: 60.00 60.00 60.00
Element x y z (fractional)
Ru  0.000  0.000  0.000
Ca  0.750  0.750  0.750
Tc  0.500  0.500  0.500



Density functional theory data (GGA-PBE) for a relaxed structure of CaV2TcRu.

Properties
- Energy of formation: 1400.9 meV/atom
- VASP energy: -6.575 eV/atom
- DOS at the Fermi energy: 1.820 states/eV per atom
- Space group: P4/mmm, No. 123

abc: 4.490 5.061 4.490
angles: 90.00 90.00 90.00
Element x y z (fractional)
Ru  0.000  0.000  0.000
Ca  0.000  0.500  0.000
Tc  0.500  0.500  0.500
V  0.000  0.000  0.500
V  0.500  0.000  0.000



Density functional theory data (GGA-PBE) for a relaxed structure of Ca2YTcRu.

Properties
- Energy of formation: 646.9 meV/atom
- VASP energy: -5.375 eV/atom
- DOS at the Fermi energy: 1.147 states/eV per atom
- Space group: P4/mmm, No. 123

abc: 5.340 4.710 5.340
angles: 90.00 90.00 90.00
Element x y z (fractional)
Y  0.500  0.500  0.500
Ru  0.000  0.500  0.000
Ca  0.000  0.000  0.500
Ca  0.500  0.000  0.000
Tc  0.000  0.000  0.000



Density functional theory data (GGA-PBE) for a relaxed structure of Ca2ZrTcRu.

Properties
- Energy of formation: 1650.9 meV/atom
- VASP energy: -4.788 eV/atom
- DOS at the Fermi energy: 1.770 states/eV per atom
- Space group: P4/mmm, No. 123

abc: 5.710 4.531 5.710
angles: 90.00 90.00 90.00
Element x y z (fractional)
Ru  0.500  0.500  0.500
Ca  0.000  0.000  0.500
Ca  0.500  0.000  0.000
Tc  0.000  0.500  0.000
Zr  0.000  0.000  0.000



Density functional theory data (GGA-PBE) for a relaxed structure of CaTeRu2.

Properties
- Formation energy from raw total energies: 0.09 eV/atom
- VASP energy: -5.830 eV/atom
- DOS at the Fermi energy: 0.593 states/eV per atom
- Space group: Pm, No. 6

abc: 3.974 3.729 6.248
angles: 74.03 90.00 90.00
Element x y z (fractional)
Ru  0.000  0.997  0.095
Ru  0.500  0.263  0.195
Ca  0.500  0.791  0.758
Te  0.000  0.449  0.452



Density functional theory data (GGA-PBE) for a relaxed structure of CaTeRu2.

Properties
- Formation energy from raw total energies: 0.30 eV/atom
- VASP energy: -5.619 eV/atom
- DOS at the Fermi energy: 0.973 states/eV per atom
- Space group: P2/m, No. 10

abc: 4.261 3.146 6.079
angles: 76.13 90.00 90.00
Element x y z (fractional)
Ru  0.000  0.094  0.043
Ru  0.000  0.406  0.457
Ca  0.500  0.750  0.750
Te  0.500  0.250  0.250



Density functional theory data (GGA-PBE) for a relaxed structure of CaTeRu2.

Properties
- Formation energy from raw total energies: 0.06 eV/atom
- VASP energy: -5.860 eV/atom
- DOS at the Fermi energy: 1.041 states/eV per atom
- Space group: C2/m, No. 12

abc: 4.534 4.534 5.717
angles: 66.89 66.89 60.00
Element x y z (fractional)
Ru  0.942  0.942  0.173
Ru  0.558  0.558  0.327
Ca  0.750  0.750  0.750
Te  0.250  0.250  0.250



Density functional theory data (GGA-PBE) for a relaxed structure of CaTe4Ru.

Properties
- Formation energy from raw total energies: 0.58 eV/atom
- VASP energy: -3.391 eV/atom
- DOS at the Fermi energy: 0.977 states/eV per atom
- Space group: F-43m, No. 216

abc: 6.313 6.313 6.313
angles: 60.00 60.00 60.00
Element x y z (fractional)
Ca  0.750  0.750  0.750
Te  0.878  0.374  0.374
Te  0.374  0.374  0.878
Te  0.374  0.878  0.374
Te  0.374  0.374  0.374
Ru  0.000  0.000  0.000



Density functional theory data (GGA-PBE) for a relaxed structure of CaTe3Ru.

Properties
- Formation energy from raw total energies: -0.13 eV/atom
- VASP energy: -4.269 eV/atom
- DOS at the Fermi energy: 1.355 states/eV per atom
- Space group: Pm-3m, No. 221

abc: 5.307 5.307 5.307
angles: 90.00 90.00 90.00
Element x y z (fractional)
Ru  0.000  0.000  0.000
Ca  0.500  0.500  0.500
Te  0.000  0.500  0.000
Te  0.000  0.000  0.500
Te  0.500  0.000  0.000



Density functional theory data (GGA-PBE) for a relaxed structure of CaTeRu2.

Properties
- Formation energy from raw total energies: 0.44 eV/atom
- VASP energy: -5.488 eV/atom
- DOS at the Fermi energy: 1.466 states/eV per atom
- Space group: R-3m, No. 166

abc: 8.555 8.555 8.555
angles: 22.60 22.60 22.60
Element x y z (fractional)
Ru  0.988  0.988  0.988
Ru  0.512  0.512  0.512
Ca  0.750  0.750  0.750
Te  0.250  0.250  0.250



Density functional theory data (GGA-PBE) for a relaxed structure of CaTeRu2.

Properties
- Formation energy from raw total energies: 0.10 eV/atom
- VASP energy: -5.825 eV/atom
- DOS at the Fermi energy: 0.590 states/eV per atom
- Space group: P4/mmm, No. 123

abc: 3.422 4.550 4.550
angles: 90.00 90.00 90.00
Element x y z (fractional)
Ru  0.000  0.000  0.000
Ru  0.000  0.500  0.500
Ca  0.500  0.000  0.500
Te  0.500  0.500  0.000



Density functional theory data (GGA-PBE) for a relaxed structure of Ca4TeRu.

Properties
- Formation energy from raw total energies: 0.50 eV/atom
- VASP energy: -2.905 eV/atom
- DOS at the Fermi energy: 0.262 states/eV per atom
- Space group: F-43m, No. 216

abc: 6.221 6.221 6.221
angles: 60.00 60.00 60.00
Element x y z (fractional)
Ca  0.872  0.376  0.376
Ca  0.376  0.376  0.872
Ca  0.376  0.872  0.376
Ca  0.376  0.376  0.376
Te  0.000  0.000  0.000
Ru  0.750  0.750  0.750



Density functional theory data (GGA-PBE) for a relaxed structure of CaTeRu2.

Properties
- Formation energy from raw total energies: 0.16 eV/atom
- VASP energy: -5.763 eV/atom
- DOS at the Fermi energy: 1.111 states/eV per atom
- Space group: Pmm2, No. 25

abc: 3.198 3.174 7.866
angles: 90.00 90.00 90.00
Element x y z (fractional)
Ru  0.000  0.000  0.044
Ru  0.500  0.500  0.218
Ca  0.500  0.500  0.781
Te  0.000  0.000  0.457



Density functional theory data (GGA-PBE) for a relaxed structure of CaTeRu2.

Properties
- Formation energy from raw total energies: 0.15 eV/atom
- VASP energy: -5.769 eV/atom
- DOS at the Fermi energy: 0.942 states/eV per atom
- Space group: Imm2, No. 44

abc: 5.747 5.747 5.747
angles: 147.69 131.36 59.61
Element x y z (fractional)
Ru  0.970  0.970  0.000
Ru  0.749  0.249  0.500
Ca  0.252  0.752  0.500
Te  0.529  0.529  0.000



Density functional theory data (GGA-PBE) for a relaxed structure of CaTeRu2.

Properties
- Formation energy from raw total energies: 0.38 eV/atom
- VASP energy: -5.546 eV/atom
- DOS at the Fermi energy: 1.211 states/eV per atom
- Space group: F-43m, No. 216

abc: 4.776 4.776 4.776
angles: 60.00 60.00 60.00
Element x y z (fractional)
Ru  0.000  0.000  0.000
Ru  0.250  0.250  0.250
Ca  0.500  0.500  0.500
Te  0.750  0.750  0.750



Density functional theory data (GGA-PBE) for a relaxed structure of CaTeRu2.

Properties
- Formation energy from raw total energies: 0.16 eV/atom
- VASP energy: -5.766 eV/atom
- DOS at the Fermi energy: 0.365 states/eV per atom
- Space group: P4/mmm, No. 123

abc: 3.302 3.302 6.838
angles: 90.00 90.00 90.00
Element x y z (fractional)
Ru  0.000  0.000  0.034
Ru  0.000  0.000  0.466
Ca  0.500  0.500  0.750
Te  0.500  0.500  0.250



Density functional theory data (GGA-PBE) for a relaxed structure of CaTeRu2.

Properties
- Formation energy from raw total energies: 0.20 eV/atom
- VASP energy: -5.724 eV/atom
- DOS at the Fermi energy: 1.072 states/eV per atom
- Space group: I-4m2, No. 119

abc: 5.344 5.344 5.344
angles: 136.09 136.09 63.84
Element x y z (fractional)
Ru  0.000  0.000  0.000
Ru  0.250  0.750  0.500
Ca  0.750  0.250  0.500
Te  0.500  0.500  0.000